## SrYCl2 (PBE)

Data for a relaxed structure of SrYCl2.

The size of the total moment is 0.00 μB per cell. Its total energy is -17.10 eV/cell. The formation energy from raw total energies is -5.26 eV/f.u. The density of states at the Fermi level comes out at 2.7 states/eV/cell. As for the volume: 26.2 Å³ per atom. The offset from the most stable computed form is 0.66 eV per formula unit.

abc: 4.9036 4.9036 6.4926
angles: 76.69 76.69 43.95
With the nearest neighbours (Å) after each atom.
Atoms (fractional coordinates):
Sr 0.7500 0.7500 0.7500  6 Cl 3.16-3.19
Cl 0.9934 0.9934 0.0297  3 Y 2.96-3.02, 3 Sr 3.16-3.19
Cl 0.5066 0.5066 0.4703  3 Y 2.96-3.02, 3 Sr 3.16-3.19
Y 0.2500 0.2500 0.2500  6 Cl 2.96-3.02

***

## CuPb2O4 (PBE)

Data for a relaxed structure of CuPb2O4.

The size of the total moment is 0.12 μB per cell. Its total energy is -72.03 eV/cell. The formation energy from raw total energies is -4.67 eV/f.u. The density of states at the Fermi level comes out at 6.8 states/eV/cell. As for the volume: 14.8 Å³ per atom.

abc: 6.4411 6.4411 6.2988
angles: 90.00 90.00 127.53
With the nearest neighbours (Å) after each atom.
Atoms (fractional coordinates):
Pb 0.1612 0.8388 0.5000  6 O 2.36-2.47
Pb 0.8388 0.1612 0.0000  6 O 2.36-2.47
Pb 0.8388 0.1612 0.5000  6 O 2.36-2.47
Pb 0.1612 0.8388 0.0000  6 O 2.36-2.47
O 0.0000 0.5000 0.2500  4 Pb 2.36
O 0.0000 0.5000 0.7500  4 Pb 2.36
O 0.2853 0.2853 0.5000  2 Cu 1.99
O 0.7147 0.7147 0.5000  2 Cu 1.99
O 0.2853 0.2853 0.0000  2 Cu 1.99
O 0.5000 0.0000 0.2500  4 Pb 2.36
O 0.5000 0.0000 0.7500  4 Pb 2.36
O 0.7147 0.7147 0.0000  2 Cu 1.99
Cu 0.5000 0.5000 0.2500  4 O 1.99
Cu 0.5000 0.5000 0.7500  4 O 1.99

***

## PrZr4 (PBE)

Data for a relaxed structure of PrZr4.

The size of the total moment is 0.00 μB per cell. Its total energy is -32.49 eV/cell. The density of states at the Fermi level comes out at 8.0 states/eV/cell. As for the volume: 28.1 Å³ per atom.

abc: 5.1997 5.1997 5.1997
angles: 90.00 90.00 90.00
With the nearest neighbours (Å) after each atom.
Atoms (fractional coordinates):
Zr 0.5000 0.0000 0.5000  2 Pr 2.60
Zr 0.0000 0.5000 0.5000  2 Pr 2.60
Zr 0.0000 0.0000 0.0000  12 Zr 3.68
Zr 0.5000 0.5000 0.0000  2 Pr 2.60
Pr 0.5000 0.5000 0.5000  6 Zr 2.60

***

## NdEr5Pb6 (PBE)

Data for a relaxed structure of NdEr5Pb6.

The size of the total moment is 0.00 μB per cell. Its total energy is -54.81 eV/cell. The density of states at the Fermi level comes out at 7.6 states/eV/cell. As for the volume: 29.4 Å³ per atom.

abc: 8.6665 6.1139 8.2253
angles: 68.18 79.48 60.56
With the nearest neighbours (Å) after each atom.
Atoms (fractional coordinates):
Pb 0.7409 0.4318 0.6595  5 Er 3.16-3.22, 1 Nd 3.29
Pb 0.7567 0.7291 0.0000  5 Er 3.16-3.21, 1 Nd 3.26
Pb 0.2591 0.5682 0.3405  5 Er 3.16-3.22, 1 Nd 3.29
Pb 0.2591 0.9088 0.6595  5 Er 3.16-3.22, 1 Nd 3.29
Pb 0.7409 0.0912 0.3405  5 Er 3.16-3.22, 1 Nd 3.29
Pb 0.2433 0.2709 0.0000  5 Er 3.16-3.21, 1 Nd 3.26
Nd 0.0000 0.0000 0.0000  6 Pb 3.26-3.29
Er 0.5000 0.8401 0.3197  6 Pb 3.17-3.20
Er 0.5000 0.1599 0.6803  6 Pb 3.17-3.20
Er 0.0000 0.3295 0.3410  6 Pb 3.16-3.22
Er 0.5000 0.5000 0.0000  6 Pb 3.16-3.20
Er 0.0000 0.6705 0.6590  6 Pb 3.16-3.22

***

## YTeCl (PBE)

Data for a relaxed structure of YTeCl.

The size of the total moment is 0.00 μB per cell. Its total energy is -16.57 eV/cell. The formation energy from raw total energies is -5.12 eV/f.u. The density of states at the Fermi level comes out at 0.0 states/eV/cell. As for the volume: 35.9 Å³ per atom.

abc: 4.2321 4.2321 6.9409
angles: 90.00 90.00 120.00
With the nearest neighbours (Å) after each atom.
Atoms (fractional coordinates):
Te 0.3333 0.6667 0.4306  3 Y 2.98
Cl 0.0000 0.0000 0.8919  3 Y 2.86
Y 0.6667 0.3333 0.6775  3 Cl 2.86, 3 Te 2.98

***

## Ba2ErMg16 (PBE)

Data for a relaxed structure of Ba2ErMg16.

The size of the total moment is 0.00 μB per cell. Its total energy is -34.98 eV/cell. The density of states at the Fermi level comes out at 11.3 states/eV/cell. As for the volume: 27.4 Å³ per atom.

abc: 8.1006 8.1006 8.1006
angles: 82.74 82.74 82.74
With the nearest neighbours (Å) after each atom.
Atoms (fractional coordinates):
Mg 0.9999 0.2900 0.7077  8 Mg 3.07-3.29, 1 Er 3.43
Mg 0.3473 0.8457 0.3473  9 Mg 3.10-3.29
Mg 0.4972 0.0002 0.0002  9 Mg 3.07-3.20, 1 Er 3.32
Mg 0.2900 0.9999 0.7077  8 Mg 3.07-3.29, 1 Er 3.43
Mg 0.1490 0.6500 0.6500  8 Mg 3.11-3.29, 1 Er 3.40
Mg 0.6500 0.6500 0.1490  8 Mg 3.11-3.29, 1 Er 3.40
Mg 0.0002 0.4972 0.0002  9 Mg 3.07-3.20, 1 Er 3.32
Mg 0.1095 0.1095 0.1095  1 Er 3.17, 6 Mg 3.20-3.29
Mg 0.6500 0.1490 0.6500  8 Mg 3.11-3.29, 1 Er 3.40
Mg 0.8457 0.3473 0.3473  9 Mg 3.10-3.29
Mg 0.0002 0.0002 0.4972  9 Mg 3.07-3.20, 1 Er 3.32
Mg 0.7077 0.9999 0.2900  8 Mg 3.07-3.29, 1 Er 3.43
Mg 0.3473 0.3473 0.8457  9 Mg 3.10-3.29
Mg 0.7077 0.2900 0.9999  8 Mg 3.07-3.29, 1 Er 3.43
Mg 0.2900 0.7077 0.9999  8 Mg 3.07-3.29, 1 Er 3.43
Mg 0.9999 0.7077 0.2900  8 Mg 3.07-3.29, 1 Er 3.43
Er 0.9074 0.9074 0.9074  13 Mg 3.17-3.43
Ba 0.6604 0.6604 0.6604  18 Mg 3.82-4.17, 1 Er 3.88
Ba 0.3407 0.3407 0.3407  13 Mg 3.63-4.00

***

## GdHoCo2 (PBE)

Data for a relaxed structure of GdHoCo2.

The size of the total moment is 6.25 μB per cell. Its total energy is -33.43 eV/cell. The density of states at the Fermi level comes out at 1.2 states/eV/cell. As for the volume: 18.8 Å³ per atom. The offset from the most stable computed form is 0.00 eV per formula unit.

abc: 3.3570 4.7298 4.7298
angles: 90.00 90.00 90.00
With the nearest neighbours (Å) after each atom.
Atoms (fractional coordinates):
Ho 0.5000 0.5000 0.5000  8 Co 2.90
Co 0.0000 0.0000 0.5000  4 Gd 2.90, 4 Ho 2.90
Co 0.0000 0.5000 0.0000  4 Gd 2.90, 4 Ho 2.90
Gd 0.5000 0.0000 0.0000  8 Co 2.90

***

## ZnOsBr2 (PBE)

Data for a relaxed structure of ZnOsBr2.

The size of the total moment is 0.37 μB per cell. Its total energy is -11.44 eV/cell. The formation energy from raw total energies is 4.41 eV/f.u. The density of states at the Fermi level comes out at 3.5 states/eV/cell. As for the volume: 18.2 Å³ per atom. The offset from the most stable computed form is 3.67 eV per formula unit.

abc: 4.7971 4.7971 3.1699
angles: 90.00 90.00 90.00
With the nearest neighbours (Å) after each atom.
Atoms (fractional coordinates):
Br 0.5000 0.5000 0.0000  4 Os 2.87, 4 Zn 2.87, 2 Br 3.17
Br 0.0000 0.0000 0.0000  4 Os 2.87, 4 Zn 2.87, 2 Br 3.17
Zn 0.0000 0.5000 0.5000  8 Br 2.87, 2 Zn 3.17
Os 0.5000 0.0000 0.5000  8 Br 2.87, 2 Os 3.17

***

## Zr2Ni6Ge (PBE)

Data for a relaxed structure of Zr2Ni6Ge.

The size of the total moment is 0.00 μB per cell. Its total energy is -60.41 eV/cell. The density of states at the Fermi level comes out at 5.7 states/eV/cell. As for the volume: 13.7 Å³ per atom.

abc: 5.4437 5.1092 5.1092
angles: 59.99 89.97 89.97
With the nearest neighbours (Å) after each atom.
Atoms (fractional coordinates):
Zr 0.8395 0.6667 0.6667  9 Ni 2.71-3.00
Zr 0.1605 0.3333 0.3333  9 Ni 2.71-3.00
Ni 0.3277 0.3513 0.8248  1 Ge 2.37, 4 Ni 2.41-2.44
Ni 0.6723 0.1752 0.6487  1 Ge 2.37, 4 Ni 2.41-2.44
Ni 0.6733 0.1760 0.1760  1 Ge 2.36, 4 Ni 2.41-2.44
Ni 0.3277 0.8248 0.3513  1 Ge 2.37, 4 Ni 2.41-2.44
Ni 0.3267 0.8240 0.8240  1 Ge 2.36, 4 Ni 2.41-2.44
Ni 0.6723 0.6487 0.1752  1 Ge 2.37, 4 Ni 2.41-2.44
Ge 0.0000 0.0000 0.0000  6 Ni 2.36-2.37

***

## CrCuHg2 (PBE)

Data for a relaxed structure of CrCuHg2.

The size of the total moment is 4.01 μB per cell. Its total energy is -12.77 eV/cell. The density of states at the Fermi level comes out at 2.1 states/eV/cell. As for the volume: 19.0 Å³ per atom. The offset from the most stable computed form is 0.21 eV per formula unit.

abc: 4.0118 3.0691 6.3504
angles: 76.28 90.00 90.00
With the nearest neighbours (Å) after each atom.
Atoms (fractional coordinates):
Hg 0.0000 0.8182 0.9793  2 Cu 2.63
Hg 0.5000 0.1739 0.2742  1 Cu 2.65
Cu 0.5000 0.9655 0.7033  3 Hg 2.63-2.65, 4 Cr 2.71
Cr 0.0000 0.5424 0.5432  4 Cu 2.71, 4 Hg 3.02

***

## NaTm6S8 (PBE)

Data for a relaxed structure of NaTm6S8.

The size of the total moment is 0.32 μB per cell. Its total energy is -87.84 eV/cell. The formation energy from raw total energies is -26.67 eV/f.u. The density of states at the Fermi level comes out at 8.2 states/eV/cell. As for the volume: 29.1 Å³ per atom. The offset from the most stable computed form is 2.58 eV per formula unit.

abc: 7.6316 7.6316 7.6316
angles: 96.22 96.22 96.22
With the nearest neighbours (Å) after each atom.
Atoms (fractional coordinates):
S 0.3190 0.5974 0.8531  4 Tm 2.63-2.75
S 0.6810 0.4026 0.1469  4 Tm 2.63-2.75
S 0.2310 0.2310 0.2310  3 Tm 2.65, 1 Na 2.70
S 0.1469 0.6810 0.4026  4 Tm 2.63-2.75
S 0.8531 0.3190 0.5974  4 Tm 2.63-2.75
S 0.5974 0.8531 0.3190  4 Tm 2.63-2.75
S 0.4026 0.1469 0.6810  4 Tm 2.63-2.75
S 0.7690 0.7690 0.7690  3 Tm 2.65, 1 Na 2.70
Na 0.0000 0.0000 0.0000  2 S 2.70
Tm 0.1911 0.3753 0.5542  5 S 2.63-2.75
Tm 0.4458 0.8089 0.6247  5 S 2.63-2.75
Tm 0.8089 0.6247 0.4458  5 S 2.63-2.75
Tm 0.5542 0.1911 0.3753  5 S 2.63-2.75
Tm 0.3753 0.5542 0.1911  5 S 2.63-2.75
Tm 0.6247 0.4458 0.8089  5 S 2.63-2.75

***

## HoMg3Zn (PBE)

Data for a relaxed structure of HoMg3Zn.

The size of the total moment is 0.00 μB per cell. Its total energy is -22.47 eV/cell. The density of states at the Fermi level comes out at 5.5 states/eV/cell. As for the volume: 22.9 Å³ per atom.

abc: 3.7392 7.6036 8.4085
angles: 73.07 90.00 90.00
With the nearest neighbours (Å) after each atom.
Atoms (fractional coordinates):
Mg 0.3810 0.0074 0.3071  3 Zn 2.79-2.83, 2 Mg 3.03
Mg 0.8810 0.2510 0.0538  7 Mg 3.03-3.12, 1 Zn 3.08, 2 Ho 3.39
Mg 0.8810 0.6674 0.4990  3 Zn 2.79-2.83, 2 Mg 3.03
Mg 0.3810 0.0022 0.9140  3 Zn 2.79-2.80, 3 Mg 3.10-3.12
Mg 0.3810 0.4238 0.7523  7 Mg 3.03-3.12, 1 Zn 3.08, 2 Ho 3.39
Mg 0.8810 0.6725 0.8921  3 Zn 2.79-2.80, 3 Mg 3.10-3.12
Zn 0.8810 0.8283 0.1556  7 Mg 2.79-3.08, 2 Ho 3.01
Zn 0.3810 0.8465 0.6505  7 Mg 2.79-3.08, 2 Ho 3.01
Ho 0.3810 0.5032 0.2428  2 Zn 3.01, 2 Mg 3.36
Ho 0.8810 0.1716 0.5632  2 Zn 3.01, 2 Mg 3.36

***

## Ba2CeN2Cl2 (PBE)

Data for a relaxed structure of Ba2CeN2Cl2.

The size of the total moment is 0.00 μB per cell. Its total energy is -42.09 eV/cell. The formation energy from raw total energies is -11.97 eV/f.u. As for the volume: 24.6 Å³ per atom.

abc: 4.6003 4.6003 8.7645
angles: 105.21 105.21 90.00
With the nearest neighbours (Å) after each atom.
Atoms (fractional coordinates):
Ce 0.0000 0.0000 0.0000  4 N 2.30
Ba 0.3871 0.3871 0.7741  4 N 2.94
Ba 0.6129 0.6129 0.2259  4 N 2.94
N 0.5000 0.0000 0.0000  2 Ce 2.30
N 0.0000 0.5000 0.0000  2 Ce 2.30
Cl 0.8191 0.8191 0.6382  1 Ce 2.94
Cl 0.1809 0.1809 0.3618  1 Ce 2.94

***

## Li2Tl2In (PBE)

Data for a relaxed structure of Li2Tl2In.

The size of the total moment is 0.00 μB per cell. Its total energy is -11.50 eV/cell. The density of states at the Fermi level comes out at 1.7 states/eV/cell. As for the volume: 24.1 Å³ per atom. The offset from the most stable computed form is 0.54 eV per formula unit.

abc: 4.1472 4.1472 7.6056
angles: 74.18 74.18 90.00
With the nearest neighbours (Å) after each atom.
Atoms (fractional coordinates):
Li 0.2500 0.7500 0.5000  4 Tl 2.88, 4 Li 2.93
Li 0.7500 0.2500 0.5000  4 Tl 2.88, 4 Li 2.93
Tl 0.3924 0.3924 0.2152  4 Li 2.88, 1 Tl 3.02
Tl 0.6076 0.6076 0.7848  4 Li 2.88, 1 Tl 3.02
In 0.0000 0.0000 0.0000  8 Tl 3.30

***

## AlTeMo (PBE)

Data for a relaxed structure of AlTeMo.

The size of the total moment is 0.00 μB per cell. Its total energy is -15.22 eV/cell. The formation energy from raw total energies is 2.50 eV/f.u. The density of states at the Fermi level comes out at 3.5 states/eV/cell. As for the volume: 21.7 Å³ per atom. The offset from the most stable computed form is 2.40 eV per formula unit.

abc: 4.5130 4.5130 4.5130
angles: 60.00 60.00 60.00
With the nearest neighbours (Å) after each atom.
Atoms (fractional coordinates):
Te 0.7500 0.7500 0.7500  4 Al 2.76, 4 Mo 2.76
Mo 0.5000 0.5000 0.5000  4 Te 2.76
Al 0.0000 0.0000 0.0000  4 Te 2.76

***

## YIn2Ge2 (PBE)

Data for a relaxed structure of YIn2Ge2.

The size of the total moment is 0.00 μB per cell. Its total energy is -44.30 eV/cell. The density of states at the Fermi level comes out at 5.9 states/eV/cell. As for the volume: 23.4 Å³ per atom.

abc: 7.6660 7.6660 3.9901
angles: 90.00 90.00 90.00
With the nearest neighbours (Å) after each atom.
Atoms (fractional coordinates):
Y 0.0000 0.0000 0.0000  4 Ge 3.02
Y 0.5000 0.5000 0.0000  4 Ge 3.02
In 0.8328 0.3328 0.5000  6 Ge 3.00-3.02
In 0.6672 0.8328 0.5000  6 Ge 3.00-3.02
In 0.1672 0.6672 0.5000  6 Ge 3.00-3.02
In 0.3328 0.1672 0.5000  6 Ge 3.00-3.02
Ge 0.3736 0.8736 0.0000  1 Ge 2.74, 6 In 3.00-3.02, 2 Y 3.02
Ge 0.6264 0.1264 0.0000  1 Ge 2.74, 6 In 3.00-3.02, 2 Y 3.02
Ge 0.1264 0.3736 0.0000  1 Ge 2.74, 6 In 3.00-3.02, 2 Y 3.02
Ge 0.8736 0.6264 0.0000  1 Ge 2.74, 6 In 3.00-3.02, 2 Y 3.02

***

## LiNdSi2Pt5 (PBE)

Data for a relaxed structure of LiNdSi2Pt5.

The size of the total moment is 0.00 μB per cell. Its total energy is -55.17 eV/cell. The formation energy from raw total energies is -7.44 eV/f.u. The density of states at the Fermi level comes out at 3.8 states/eV/cell. As for the volume: 17.4 Å³ per atom.

abc: 4.1379 4.1379 9.1706
angles: 90.00 90.00 90.00
With the nearest neighbours (Å) after each atom.
Atoms (fractional coordinates):
Pt 0.5000 0.0000 0.2573  2 Si 2.39
Pt 0.5000 0.0000 0.7427  2 Si 2.39
Pt 0.0000 0.5000 0.7427  2 Si 2.39
Pt 0.0000 0.5000 0.2573  2 Si 2.39
Pt 0.5000 0.5000 0.5000  4 Nd 2.93, 8 Pt 3.04
Nd 0.0000 0.0000 0.5000  12 Pt 2.93-3.04
Si 0.5000 0.5000 0.8729  1 Si 2.33, 4 Pt 2.39
Si 0.5000 0.5000 0.1271  1 Si 2.33, 4 Pt 2.39
Li 0.0000 0.0000 0.0000  8 Pt 3.14, 8 Si 3.15

***

## ZrSc2Sb (PBE)

Data for a relaxed structure of ZrSc2Sb.

The size of the total moment is 0.00 μB per cell. Its total energy is -26.12 eV/cell. The formation energy from raw total energies is -0.79 eV/f.u. The density of states at the Fermi level comes out at 5.1 states/eV/cell. As for the volume: 23.9 Å³ per atom.

abc: 3.2461 3.2461 9.0681
angles: 90.00 90.00 90.00
With the nearest neighbours (Å) after each atom.
Atoms (fractional coordinates):
Sb 0.5000 0.5000 0.7490  4 Sc 3.13, 4 Zr 3.18, 4 Sb 3.25
Sc 0.0000 0.0000 0.9843  4 Sb 3.13, 8 Sc 3.25-3.39
Sc 0.5000 0.5000 0.2596  4 Zr 3.21, 8 Sc 3.25-3.39
Zr 0.0000 0.0000 0.5070  4 Sb 3.18, 4 Sc 3.21, 4 Zr 3.25

***

## BaLiCl (PBE)

Data for a relaxed structure of BaLiCl.

The size of the total moment is 1.50 μB per cell. Its total energy is -8.17 eV/cell. The formation energy from raw total energies is -2.49 eV/f.u. The density of states at the Fermi level comes out at 1.4 states/eV/cell. As for the volume: 35.6 Å³ per atom. The offset from the most stable computed form is 1.00 eV per formula unit.

abc: 5.3249 5.3249 5.3249
angles: 60.00 60.00 60.00
With the nearest neighbours (Å) after each atom.
Atoms (fractional coordinates):
Cl 0.7500 0.7500 0.7500  4 Ba 3.26, 4 Li 3.26
Li 0.0000 0.0000 0.0000  4 Cl 3.26
Ba 0.5000 0.5000 0.5000  4 Cl 3.26